## one
Computed, not measured: a geometry-optimized BeSiMo2 structure at the PBE level of DFT.

Summary:
D(E_F): 5.1 states/eV/cell

Geometry as POSCAR:
```
BeSiMo2
1.0
4.140 -2.336 0.000
4.140 2.336 0.000
-2.345 0.000 5.777
Be Si Mo
2 2 4
Cartesian
2.382 1.212 4.333
3.554 -1.212 1.444
3.554 1.056 1.444
2.382 -1.056 4.333
0.262 0.036 3.462
1.435 -0.036 0.574
4.502 0.036 5.203
5.674 -0.036 2.314
```

## two
Computed, not measured: a geometry-optimized BeSiMo2 structure at the PBE level of DFT.

Summary:
D(E_F): 4.4 states/eV/cell

Geometry as POSCAR:
```
BeSiMo2
1.0
1.398 0.807 8.221
-1.398 0.807 8.221
0.000 -1.614 8.221
Be Si Mo
1 1 2
Cartesian
0.000 0.000 0.000
0.000 0.000 12.332
0.000 0.000 6.218
0.000 0.000 18.445
```

Verdict on stability: two comes out at the bottom.

## one
Computed, not measured: a geometry-optimized Be2SiMo structure at the PBE level of DFT.

Summary:
D(E_F): 1.6 states/eV/cell

Geometry as POSCAR:
```
Be2SiMo
1.0
1.805 -1.813 0.000
1.805 1.813 0.000
0.000 0.000 7.335
Be Si Mo
2 1 1
Cartesian
0.000 0.000 0.000
1.805 0.000 1.419
0.000 0.000 3.313
1.805 0.000 5.458
```

## two
Computed, not measured: a geometry-optimized Be2SiMo structure at the PBE level of DFT.

Summary:
D(E_F): 0.2 states/eV/cell

Geometry as POSCAR:
```
Be2SiMo
1.0
-1.697 1.697 3.888
1.697 -1.697 3.888
1.697 1.697 -3.888
Be Si Mo
2 1 1
Cartesian
0.000 0.000 0.000
0.000 1.697 1.944
0.000 0.000 3.888
1.697 0.000 1.944
```

## three
Computed, not measured: a geometry-optimized Be2SiMo structure at the PBE level of DFT.

Summary:
D(E_F): 2.3 states/eV/cell

Geometry as POSCAR:
```
Be2SiMo
1.0
0.000 2.817 2.817
2.817 0.000 2.817
2.817 2.817 0.000
Be Si Mo
2 1 1
Cartesian
1.409 1.409 1.409
4.226 4.226 4.226
0.000 0.000 0.000
2.817 2.817 2.817
```

Verdict on stability: three comes out at the bottom.

## one
Computed, not measured: a geometry-optimized BeSi3Mo structure at the PBE level of DFT.

Summary:
D(E_F): 3.7 states/eV/cell

Geometry as POSCAR:
```
BeSi3Mo
1.0
4.223 0.000 0.000
0.000 4.223 0.000
0.000 0.000 4.223
Be Si Mo
1 3 1
Cartesian
0.000 0.000 0.000
0.000 0.000 2.111
0.000 2.111 0.000
2.111 0.000 0.000
2.111 2.111 2.111
```

## two
Computed, not measured: a geometry-optimized BeSi3Mo structure at the PBE level of DFT.

Summary:
D(E_F): 0.1 states/eV/cell

Geometry as POSCAR:
```
BeSi3Mo
1.0
4.743 0.000 0.000
0.000 4.743 0.000
0.000 0.000 4.743
Be Si Mo
1 3 1
Cartesian
0.000 0.000 0.000
0.000 2.371 2.371
2.371 0.000 2.371
2.371 2.371 0.000
2.371 2.371 2.371
```

Verdict on stability: one comes out at the bottom.

## one
Computed, not measured: a geometry-optimized Be3SnMo structure at the PBE level of DFT.

Summary:
D(E_F): 9.3 states/eV/cell

Geometry as POSCAR:
```
Be3SnMo
1.0
4.370 0.000 0.000
0.000 4.370 0.000
0.000 0.000 4.370
Be Sn Mo
3 1 1
Cartesian
0.000 0.000 2.185
0.000 2.185 0.000
2.185 0.000 0.000
0.000 0.000 0.000
2.185 2.185 2.185
```

## two
Computed, not measured: a geometry-optimized Be3SnMo structure at the PBE level of DFT.

Summary:
D(E_F): 3.0 states/eV/cell

Geometry as POSCAR:
```
Be3SnMo
1.0
4.373 0.000 0.000
0.000 4.373 0.000
0.000 0.000 4.373
Be Sn Mo
3 1 1
Cartesian
0.000 0.000 2.186
0.000 2.186 0.000
2.186 0.000 0.000
2.186 2.186 2.186
0.000 0.000 0.000
```

Verdict on stability: one comes out at the bottom.

## one
Computed, not measured: a geometry-optimized SrBe3Mo structure at the PBE level of DFT.

Summary:
D(E_F): 8.4 states/eV/cell

Geometry as POSCAR:
```
SrBe3Mo
1.0
4.466 0.000 0.000
0.000 4.466 0.000
0.000 0.000 4.466
Sr Be Mo
1 3 1
Cartesian
0.000 0.000 0.000
0.000 0.000 2.233
0.000 2.233 0.000
2.233 0.000 0.000
2.233 2.233 2.233
```

## two
Computed, not measured: a geometry-optimized SrBe3Mo structure at the PBE level of DFT.

Summary:
D(E_F): 3.7 states/eV/cell

Geometry as POSCAR:
```
SrBe3Mo
1.0
4.543 0.000 0.000
0.000 4.543 0.000
0.000 0.000 4.543
Sr Be Mo
1 3 1
Cartesian
0.000 0.000 0.000
0.000 2.272 2.272
2.272 0.000 2.272
2.272 2.272 0.000
2.272 2.272 2.272
```

Verdict on stability: one comes out at the bottom.

## one
Computed, not measured: a geometry-optimized SrBeMo structure at the PBE level of DFT.

Summary:
D(E_F): 3.1 states/eV/cell

Geometry as POSCAR:
```
SrBeMo
1.0
4.734 0.000 0.000
-2.367 4.100 0.000
0.000 0.000 3.039
Sr Be Mo
1 1 1
Cartesian
0.000 0.000 0.000
0.000 2.733 1.520
2.367 1.367 1.520
```

## two
Computed, not measured: a geometry-optimized SrBeMo structure at the PBE level of DFT.

Summary:
D(E_F): 2.6 states/eV/cell

Geometry as POSCAR:
```
SrBeMo
1.0
0.000 3.440 3.440
3.440 0.000 3.440
3.440 3.440 0.000
Sr Be Mo
1 1 1
Cartesian
0.000 0.000 0.000
1.720 1.720 1.720
5.160 5.160 5.160
```

Verdict on stability: two comes out at the bottom.

## one
Computed, not measured: a geometry-optimized SrBeMo structure at the PBE level of DFT.

Summary:
D(E_F): 0.5 states/eV/cell

Geometry as POSCAR:
```
SrBeMo
1.0
3.768 0.000 0.000
-1.884 3.264 0.000
0.000 0.000 5.383
Sr Be Mo
1 1 1
Cartesian
0.000 0.000 0.000
0.000 2.176 2.180
1.884 1.088 2.855
```

## two
Computed, not measured: a geometry-optimized SrBeMo structure at the PBE level of DFT.

Summary:
D(E_F): 2.9 states/eV/cell

Geometry as POSCAR:
```
SrBeMo
1.0
-1.656 1.656 5.615
1.656 -1.656 5.615
1.656 1.656 -5.615
Sr Be Mo
1 1 1
Cartesian
0.000 0.000 0.000
0.000 0.000 3.025
0.000 0.000 8.115
```

## three
Computed, not measured: a geometry-optimized SrBeMo structure at the PBE level of DFT.

Summary:
D(E_F): 2.7 states/eV/cell

Geometry as POSCAR:
```
SrBeMo
1.0
0.000 3.267 3.267
3.267 0.000 3.267
3.267 3.267 0.000
Sr Be Mo
1 1 1
Cartesian
0.000 0.000 0.000
1.633 1.633 1.633
3.267 3.267 3.267
```

Verdict on stability: three comes out at the bottom.

## one
Computed, not measured: a geometry-optimized TaBe2Mo structure at the PBE level of DFT.

Summary:
D(E_F): 1.2 states/eV/cell

Geometry as POSCAR:
```
TaBe2Mo
1.0
1.807 -2.014 0.000
1.807 2.014 0.000
0.000 0.000 7.046
Ta Be Mo
1 2 1
Cartesian
0.000 0.000 0.000
0.000 0.000 2.911
1.807 0.000 1.806
1.807 0.000 4.641
```

## two
Computed, not measured: a geometry-optimized TaBe2Mo structure at the PBE level of DFT.

Summary:
D(E_F): 1.5 states/eV/cell

Geometry as POSCAR:
```
TaBe2Mo
1.0
2.737 0.000 0.000
0.000 3.457 0.000
-0.448 0.000 5.437
Ta Be Mo
1 2 1
Cartesian
0.000 0.000 0.000
1.040 1.729 3.969
1.249 1.729 1.468
-0.224 0.000 2.719
```

Verdict on stability: one comes out at the bottom.